{
  "formula": "CoAuCl2",
  "functional": "PBE",
  "state": "relaxed",
  "cell": [[4.069, 0.000, 0.000], [0.000, 3.300, 0.000], [-1.362, 0.000, 6.878]],
  "species": ["Co", "Au", "Cl", "Cl"],
  "fractional_positions": [[0.000, 0.000, 0.000], [0.398, 0.500, 0.866], [0.072, 0.500, 0.228], [0.747, 0.000, 0.680]],
  "raw_formation_energy_ev_per_atom": -0.060,
  "relative_energy_kj_per_mol_fu": 12,
  "e_tot_ev_per_atom": -3.579,
  "crystal_system": "monoclinic"
}